Here is an optimized crystal structure of YSc4Ag5 from Alexandria via LeMat-Bulk. Energies are from PBE.

E, eV per atom: -4.886
Magnetization, μB/f.u.: 0.00
Formation enthalpy at 0 K, eV per atom: -0.282

Cell: 3.4526 3.4526 17.6141 Å, 90.00 90.00 90.00°
Space group P4/mmm (No. 123)
Inequivalent atoms, fractional coordinates:
1 Y 0.0000 0.0000 0.0000
2 Sc 0.0000 0.0000 0.2072
3 Sc 0.0000 0.0000 0.4026
4 Ag 0.5000 0.5000 0.1136
5 Ag 0.5000 0.5000 0.3047
6 Ag 0.5000 0.5000 0.5000

=====

Here is an optimized crystal structure of YScAg4 from Alexandria via LeMat-Bulk. Energies are from PBE.

E, eV per atom: -4.331
Magnetization, μB/f.u.: 0.00
Formation enthalpy at 0 K, eV per atom: -0.297
Offset from the most stable computed form, kcal/mol of atoms: 0.00

Cell: 9.8101 3.6574 7.3466 Å, 90.00 111.68 90.00°
Space group C2/m (No. 12)
Inequivalent atoms, fractional coordinates:
1 Y 0.0000 0.0000 0.0000
2 Sc 0.0000 0.0000 0.5000
3 Ag 0.1666 0.5000 0.8195
4 Ag 0.1676 0.5000 0.3450

=====

Here is an optimized crystal structure of YScAg from Alexandria via LeMat-Bulk. Energies are from PBE.

E, eV per atom: -5.339
Magnetization, μB/f.u.: 0.69
Formation enthalpy at 0 K, eV per atom: -0.123
Offset from the most stable computed form, kcal/mol of atoms: 0.83

Cell: 3.7783 13.5224 8.7677 Å, 90.00 90.00 90.00°
Space group Amm2 (No. 38)
Inequivalent atoms, fractional coordinates:
1 Y 0.0000 0.0000 0.0000
2 Y 0.0000 0.2052 0.5812
3 Sc 0.5000 0.0000 0.6649
4 Sc 0.5000 0.1243 0.2605
5 Ag 0.0000 0.0000 0.4090
6 Ag 0.5000 0.1678 0.8794